LiSbTe2Ru | GGA-PBE | optimized geometry

Cell lengths 4.9496, 4.9496, 4.6827 Å; angles 90.00, 90.00, 90.00 degrees
With the nearest neighbours (Å) after each atom.
Space group P4/mmm (No. 123)
Asymmetric unit:
Li 0.0000 0.0000 0.0000 x1  2 Sb 2.34, 4 Te 2.47
Sb 0.0000 0.0000 0.5000 x1  2 Li 2.34
Te 0.0000 0.5000 0.0000 x2  2 Li 2.47
Ru 0.5000 0.5000 0.5000 x1  8 Te 3.41, 4 Sb 3.50

Properties
Uncorrected formation energy (meV per atom): 836
D(E_F) (states/eV per atom): 0.993
E (eV/atom): -3.48
Energy relative to the lowest polymorph listed for this composition (kJ per mole of atoms): 58.7


HfNbPS2 | GGA-PBE | optimized geometry

Cell lengths 4.6600, 4.6600, 4.9075 Å; angles 90.00, 90.00, 90.00 degrees
With the nearest neighbours (Å) after each atom.
Space group P4/mmm (No. 123)
Asymmetric unit:
Hf 0.0000 0.0000 0.0000 x1  4 P 3.30, 8 S 3.38
Nb 0.5000 0.5000 0.5000 x1  4 S 2.33, 2 P 2.45
P 0.5000 0.5000 0.0000 x1  2 Nb 2.45
S 0.0000 0.5000 0.5000 x2  2 Nb 2.33

Properties
Uncorrected formation energy (meV per atom): 76
D(E_F) (states/eV per atom): 0.895
E (eV/atom): -6.66
Energy relative to the lowest polymorph listed for this composition (kJ per mole of atoms): 0.0


KNa7In5 | GGA-PBE | optimized geometry

Cell lengths 6.5252, 10.9548, 11.3645 Å; angles 90.00, 90.00, 90.00 degrees
With the nearest neighbours (Å) after each atom.
Space group Imm2 (No. 44)
Asymmetric unit:
K 0.0000 0.0000 0.0000 x2  8 Na 3.75-3.99, 6 In 4.03-4.07
Na 0.0000 0.0000 0.3433 x2  4 In 3.39, 5 Na 3.44-3.75
Na 0.0000 0.0000 0.6686 x2  6 In 3.30-3.52, 2 Na 3.63
Na 0.0000 0.2916 0.5161 x4  5 In 3.27-3.47, 4 Na 3.48-3.63
Na 0.0000 0.3411 0.0240 x4  5 In 3.39-3.46, 4 Na 3.48-3.59, 1 K 3.75
Na 0.0000 0.5000 0.7473 x2  4 In 3.26, 6 Na 3.44-3.59
In 0.0000 0.5000 0.2859 x2  4 In 3.13, 4 Na 3.45-3.47
In 0.2431 0.2413 0.7713 x8  3 In 3.13-3.35, 7 Na 3.26-3.46

Properties
Formation enthalpy at 0 K (eV/atom): -0.0955
D(E_F) (states/eV per atom): 0.380
E (eV/atom): -1.94